VASP calculation (GGA-PBE) on a relaxed PrErPS crystal.

Unit cell a=7.050 b=7.050 c=7.050 alpha=33.20 beta=33.20 gamma=33.20
Positions (direct):
Pr 0.000 0.000 0.000
Er 0.494 0.494 0.494
P 0.753 0.753 0.753
S 0.241 0.241 0.241

Computed properties:
magnetization	0.00	μB per cell
SG	R3m (160)
energy relative to the elements, uncorrected	-708	kJ/mol of formula units



VASP calculation (GGA-PBE) on a relaxed PrEr2ScP4 crystal.

Unit cell a=6.887 b=6.887 c=6.887 alpha=131.57 beta=131.57 gamma=70.92
Positions (direct):
Pr 0.000 0.000 0.000
Er 0.250 0.750 0.500
Er 0.750 0.250 0.500
Sc 0.500 0.500 0.000
P 0.000 0.500 0.500
P 0.261 0.261 0.000
P 0.500 0.000 0.500
P 0.739 0.739 0.000

Computed properties:
magnetization	0.00	μB per cell
SG	I4/mmm (139)
ΔH_f (0 K)	-145.2	kJ per mole of atoms



- magnetization of number 2 (PrEr2ScP4)?
  0.00 μB per cell